[1]
## Pm5Sm (GGA-PBE)

Data for crystalline Pm5Sm at its relaxed geometry.

- Energy relative to the elements: 0.0135 eV/atom
- Calculated total energy: -4.73 eV per atom
- Crystal system: orthorhombic
- D(E_F): 17.6 states/eV/cell

Lattice parameters (Å, degrees): 5.164 10.925 7.291 90.00 90.00 90.00
Fractional positions:
Pm  0.250  0.083  0.125
Pm  0.250  0.084  0.625
Pm  0.250  0.416  0.625
Pm  0.250  0.417  0.125
Pm  0.250  0.750  0.625
Pm  0.750  0.250  0.375
Pm  0.750  0.583  0.875
Pm  0.750  0.584  0.375
Pm  0.750  0.916  0.375
Pm  0.750  0.917  0.875
Sm  0.250  0.750  0.125
Sm  0.750  0.250  0.875

[2]
## FeCuPt2 (GGA-PBE)

Data for crystalline FeCuPt2 at its relaxed geometry.

- Energy relative to the elements: -0.2292 eV/atom
- Calculated total energy: -6.39 eV per atom
- Crystal system: tetragonal
- D(E_F): 2.3 states/eV/cell

Lattice parameters (Å, degrees): 2.762 2.762 7.328 90.00 90.00 90.00
Fractional positions:
Fe  0.000  0.000  0.000
Cu  0.000  0.000  0.500
Pt  0.500  0.500  0.247
Pt  0.500  0.500  0.753

[3]
## SrPrCd3 (GGA-PBE)

Data for crystalline SrPrCd3 at its relaxed geometry.

- Energy relative to the elements: -0.3036 eV/atom
- Calculated total energy: -2.14 eV per atom
- Crystal system: orthorhombic
- D(E_F): 8.4 states/eV/cell

Lattice parameters (Å, degrees): 15.402 15.402 5.059 90.00 90.00 165.70
Fractional positions:
Sr  0.075  0.925  0.750
Sr  0.925  0.075  0.250
Pr  0.213  0.787  0.250
Pr  0.787  0.213  0.750
Cd  0.324  0.676  0.250
Cd  0.378  0.622  0.750
Cd  0.475  0.525  0.750
Cd  0.525  0.475  0.250
Cd  0.622  0.378  0.250
Cd  0.676  0.324  0.750